(1)
This record from Alexandria via LeMat-Bulk describes a relaxed structure of Fe2SbPt. The functional is GGA-PBE.

Properties
- total energy (eV/cell) = -26.69
- raw formation energy (meV per atom) = 100
- symmetry = C2/m (12)

extended XYZ file:
```
4
Lattice="2.6900 -3.8915 0.0000 2.6900 3.8915 0.0000 -0.0164 0.0000 2.9546" Properties=species:S:1:pos:R:3 pbc="T T T"
Fe 1.3450 1.9458 0.0000
Fe 1.3450 -1.9458 0.0000
Sb -0.0082 0.0000 1.4773
Pt 2.6818 0.0000 1.4773
```

=====

(2)
This record from Alexandria via LeMat-Bulk describes a relaxed structure of RbAuCl2. The functional is GGA-PBE.

Properties
- total energy (eV/cell) = -24.80
- raw formation energy (meV per atom) = -1116
- symmetry = P6_3/mmc (194)
- offset from the most stable computed form (meV/atom) = 2

extended XYZ file:
```
8
Lattice="5.3291 0.0000 0.0000 -2.6645 4.6151 0.0000 0.0000 0.0000 14.5005" Properties=species:S:1:pos:R:3 pbc="T T T"
Rb 0.0000 0.0000 0.0000
Rb 0.0000 0.0000 7.2503
Au 0.0000 3.0767 3.6251
Au 2.6645 1.5384 10.8754
Cl 0.0000 3.0767 1.3342
Cl 0.0000 3.0767 5.9160
Cl 2.6645 1.5384 8.5845
Cl 2.6645 1.5384 13.1663
```

=====

(3)
This record from Alexandria via LeMat-Bulk describes a relaxed structure of Sm5Tl2RuRh2. The functional is GGA-PBE.

Properties
- DFT formation energy (kJ per mole of atoms) = -42.93
- total energy (eV/cell) = -113.51
- symmetry = P4/mbm (127)

extended XYZ file:
```
20
Lattice="11.8746 0.0000 0.0000 0.0000 11.8746 0.0000 0.0000 0.0000 3.5873" Properties=species:S:1:pos:R:3 pbc="T T T"
Sm 0.0000 5.9373 0.0000
Sm 0.7952 2.3053 0.0000
Sm 2.3053 11.0794 0.0000
Sm 3.6320 5.1421 0.0000
Sm 5.1421 8.2426 0.0000
Sm 5.9373 0.0000 0.0000
Sm 6.7325 3.6320 0.0000
Sm 8.2426 6.7325 0.0000
Sm 9.5694 0.7952 0.0000
Sm 11.0794 9.5694 0.0000
Tl 2.1084 8.0457 1.7936
Tl 3.8289 2.1084 1.7936
Tl 8.0457 9.7662 1.7936
Tl 9.7662 3.8289 1.7936
Ru 0.0000 0.0000 1.7936
Ru 5.9373 5.9373 1.7936
Rh 1.6015 4.3358 1.7936
Rh 4.3358 10.2731 1.7936
Rh 7.5388 1.6015 1.7936
Rh 10.2731 7.5388 1.7936
```

=====

| no. | ρ (Mg/m³) |
| --- | --- |
| 1 | 11.50 |
| 2 | 3.29 |
| 3 | 9.63 |